(1)
The following is a GGA-PBE calculation of a relaxed NaPa2MnS8 crystal, from Alexandria via LeMat-Bulk.

Cell: 5.966 5.966 8.431 Å, 90.00 90.00 120.00°
Fractional coordinates of all 12 atoms:
1 S 0.667 0.333 0.412
2 S 0.653 0.826 0.165
3 S 0.347 0.174 0.835
4 Na 0.000 0.000 0.500
5 Pa 0.667 0.333 0.126
6 S 0.826 0.653 0.835
7 S 0.826 0.174 0.835
8 Mn 0.000 0.000 0.000
9 S 0.174 0.826 0.165
10 Pa 0.333 0.667 0.874
11 S 0.174 0.347 0.165
12 S 0.333 0.667 0.588

Computed properties:
**Total magnetic moment**: 2.95 Bohr magnetons per cell
**Uncorrected formation energy**: -986 meV/atom
**Symmetry**: P-3m1 (164)

=====

(2)
The following is a GGA-PBE calculation of a relaxed Na2PaMn2S6 crystal, from Alexandria via LeMat-Bulk.

Cell: 6.102 6.102 7.177 Å, 97.46 97.46 121.09°
Fractional coordinates of all 11 atoms:
1 S 0.940 0.568 0.299
2 S 0.060 0.432 0.701
3 Mn 0.334 0.666 0.500
4 Na 0.159 0.841 0.000
5 S 0.308 0.308 0.295
6 Na 0.841 0.159 0.000
7 S 0.432 0.060 0.701
8 S 0.568 0.940 0.299
9 S 0.692 0.692 0.705
10 Pa 0.000 0.000 0.500
11 Mn 0.666 0.334 0.500

Computed properties:
**Total magnetic moment**: 3.00 Bohr magnetons per cell
**Uncorrected formation energy**: -1028 meV/atom
**Symmetry**: C2/m (12)

=====

(3)
The following is a GGA-PBE calculation of a relaxed NaPa2MnS6 crystal, from Alexandria via LeMat-Bulk.

Cell: 7.190 7.190 7.190 Å, 53.32 53.32 53.32°
Fractional coordinates of all 10 atoms:
1 S 0.089 0.801 0.391
2 Pa 0.195 0.195 0.195
3 S 0.639 0.940 0.241
4 S 0.940 0.241 0.639
5 S 0.801 0.391 0.089
6 S 0.391 0.089 0.801
7 Mn 0.018 0.018 0.018
8 S 0.241 0.639 0.940
9 Na 0.500 0.500 0.500
10 Pa 0.686 0.686 0.686

Computed properties:
**Total magnetic moment**: 0.10 Bohr magnetons per cell
**Uncorrected formation energy**: -1201 meV/atom
**Symmetry**: R3 (146)

=====

(4)
The following is a GGA-PBE calculation of a relaxed NaPaMn2S6 crystal, from Alexandria via LeMat-Bulk.

Cell: 6.492 6.492 6.839 Å, 61.64 61.63 60.00°
Fractional coordinates of all 10 atoms:
1 Na 0.795 0.795 0.614
2 Mn 0.006 0.006 0.982
3 S 0.639 0.247 0.231
4 S 0.346 0.752 0.739
5 S 0.752 0.162 0.739
6 Mn 0.514 0.514 0.457
7 Pa 0.317 0.317 0.049
8 S 0.883 0.639 0.232
9 S 0.247 0.882 0.231
10 S 0.162 0.346 0.740

Computed properties:
**Total magnetic moment**: 8.01 Bohr magnetons per cell
**Uncorrected formation energy**: -944 meV/atom
**Symmetry**: R3 (146)

=====

(5)
The following is a GGA-PBE calculation of a relaxed NaPaMn4Se8 crystal, from Alexandria via LeMat-Bulk.

Cell: 7.783 7.783 7.953 Å, 60.70 60.70 60.00°
Fractional coordinates of all 14 atoms:
1 Mn 0.634 0.634 0.099
2 Se 0.764 0.764 0.709
3 Pa 0.001 0.001 0.996
4 Na 0.363 0.363 0.911
5 Mn 0.497 0.000 0.502
6 Se 0.229 0.229 0.314
7 Se 0.747 0.747 0.269
8 Mn 0.000 0.497 0.502
9 Se 0.237 0.747 0.269
10 Se 0.249 0.249 0.720
11 Se 0.747 0.237 0.269
12 Se 0.782 0.249 0.720
13 Mn 0.000 0.000 0.502
14 Se 0.249 0.782 0.720

Computed properties:
**Total magnetic moment**: 8.00 Bohr magnetons per cell
**Uncorrected formation energy**: -693 meV/atom
**Symmetry**: R3m (160)

=====

(6)
The following is a GGA-PBE calculation of a relaxed Na2PaMn2Se6 crystal, from Alexandria via LeMat-Bulk.

Cell: 6.647 6.647 7.585 Å, 99.31 99.31 118.09°
Fractional coordinates of all 11 atoms:
1 Se 0.943 0.591 0.282
2 Se 0.715 0.715 0.704
3 Se 0.591 0.943 0.282
4 Na 0.837 0.163 0.000
5 Se 0.409 0.057 0.718
6 Pa 0.000 0.000 0.500
7 Mn 0.669 0.331 0.500
8 Se 0.057 0.409 0.718
9 Na 0.163 0.837 0.000
10 Se 0.285 0.285 0.296
11 Mn 0.331 0.669 0.500

Computed properties:
**Total magnetic moment**: 9.00 Bohr magnetons per cell
**Uncorrected formation energy**: -957 meV/atom
**Symmetry**: C2/m (12)

=====

(7)
The following is a GGA-PBE calculation of a relaxed Na4PaMn3Se8 crystal, from Alexandria via LeMat-Bulk.

Cell: 7.862 8.348 7.862 Å, 118.11 120.00 90.00°
Fractional coordinates of all 16 atoms:
1 Se 0.756 0.278 0.512
2 Pa 0.000 0.500 0.000
3 Na 0.500 0.000 0.000
4 Mn 0.500 0.500 0.000
5 Se 0.756 0.278 0.022
6 Se 0.732 0.695 0.464
7 Se 0.244 0.722 0.488
8 Mn 0.000 0.500 0.500
9 Na 0.000 0.000 0.500
10 Na 0.500 0.000 0.500
11 Se 0.734 0.722 0.978
12 Na 0.000 0.000 0.000
13 Se 0.266 0.278 0.022
14 Mn 0.500 0.500 0.500
15 Se 0.268 0.305 0.536
16 Se 0.244 0.722 0.978

Computed properties:
**Total magnetic moment**: 14.00 Bohr magnetons per cell
**Uncorrected formation energy**: -934 meV/atom
**Symmetry**: R-3m (166)

=====

(8)
The following is a GGA-PBE calculation of a relaxed Na2PaMnSe4 crystal, from Alexandria via LeMat-Bulk.

Cell: 4.057 6.944 7.421 Å, 108.46 90.00 90.00°
Fractional coordinates of all 8 atoms:
1 Se 0.000 0.249 0.767
2 Mn 0.000 0.000 0.000
3 Se 0.500 0.230 0.216
4 Pa 0.500 0.500 0.000
5 Na 0.000 0.500 0.500
6 Se 0.000 0.751 0.233
7 Na 0.500 0.000 0.500
8 Se 0.500 0.770 0.784

Computed properties:
**Total magnetic moment**: 5.86 Bohr magnetons per cell
**Uncorrected formation energy**: -1075 meV/atom
**Symmetry**: P2/m (10)

=====

(9)
The following is a GGA-PBE calculation of a relaxed NaPaMnSe4 crystal, from Alexandria via LeMat-Bulk.

Cell: 8.133 8.045 8.821 Å, 123.24 90.00 120.36°
Fractional coordinates of all 14 atoms:
1 Pa 0.500 0.000 0.500
2 Se 0.247 0.493 0.693
3 Pa 0.500 0.000 0.000
4 Se 0.753 0.507 0.307
5 Se 0.730 0.021 0.761
6 Se 0.291 0.021 0.761
7 Mn 0.500 0.500 0.500
8 Se 0.247 0.493 0.300
9 Na 0.173 0.346 0.923
10 Se 0.270 0.979 0.239
11 Mn 0.000 0.500 0.500
12 Se 0.753 0.507 0.700
13 Na 0.827 0.654 0.077
14 Se 0.709 0.979 0.239

Computed properties:
**Total magnetic moment**: 10.20 Bohr magnetons per cell
**Uncorrected formation energy**: -1032 meV/atom
**Symmetry**: Imma (74)

=====

(10)
The following is a GGA-PBE calculation of a relaxed Na4Pa3MnTe8 crystal, from Alexandria via LeMat-Bulk.

Cell: 8.663 9.183 8.662 Å, 118.15 120.01 90.00°
Fractional coordinates of all 16 atoms:
1 Te 0.253 0.258 0.505
2 Te 0.764 0.271 0.006
3 Te 0.758 0.729 0.994
4 Mn 0.000 0.500 0.000
5 Te 0.236 0.729 0.994
6 Pa 0.500 0.500 0.500
7 Na 0.500 0.000 0.000
8 Te 0.747 0.742 0.495
9 Te 0.242 0.271 0.006
10 Pa 0.000 0.500 0.500
11 Te 0.236 0.730 0.472
12 Pa 0.500 0.500 0.000
13 Na 0.500 0.000 0.500
14 Na 0.000 0.000 0.000
15 Te 0.764 0.270 0.528
16 Na 0.000 0.000 0.500

Computed properties:
**Total magnetic moment**: 9.81 Bohr magnetons per cell
**Uncorrected formation energy**: -770 meV/atom
**Symmetry**: R-3m (166)

=====

(11)
The following is a GGA-PBE calculation of a relaxed Na2PaMnTe4 crystal, from Alexandria via LeMat-Bulk.

Cell: 4.304 7.510 7.971 Å, 108.24 90.00 90.00°
Fractional coordinates of all 8 atoms:
1 Na 0.500 0.000 0.500
2 Te 0.500 0.225 0.214
3 Te 0.000 0.248 0.765
4 Te 0.000 0.752 0.235
5 Te 0.500 0.775 0.786
6 Mn 0.000 0.000 0.000
7 Na 0.000 0.500 0.500
8 Pa 0.500 0.500 0.000

Computed properties:
**Total magnetic moment**: 6.02 Bohr magnetons per cell
**Uncorrected formation energy**: -701 meV/atom
**Symmetry**: P2/m (10)

=====

(12)
The following is a GGA-PBE calculation of a relaxed NaMnPb3 crystal, from Alexandria via LeMat-Bulk.

Cell: 5.319 5.319 5.319 Å, 90.00 90.00 90.00°
Fractional coordinates of all 5 atoms:
1 Na 0.500 0.500 0.500
2 Pb 0.000 0.500 0.000
3 Pb 0.500 0.000 0.000
4 Mn 0.000 0.000 0.000
5 Pb 0.000 0.000 0.500

Computed properties:
**Total magnetic moment**: 2.73 Bohr magnetons per cell
**Symmetry**: Pm-3m (221)
**ΔH_f (0 K)**: 0.182 eV/atom
**Polymorph energy (0 for the lowest one)**: 0 kJ/mol of formula units

=====

(13)
The following is a GGA-PBE calculation of a relaxed Na2MnPb2 crystal, from Alexandria via LeMat-Bulk.

Cell: 7.406 7.406 5.120 Å, 90.00 90.00 90.00°
Fractional coordinates of all 10 atoms:
1 Mn 0.000 0.000 0.000
2 Mn 0.500 0.500 0.000
3 Na 0.662 0.838 0.500
4 Pb 0.348 0.848 0.000
5 Pb 0.152 0.348 0.000
6 Pb 0.652 0.152 0.000
7 Na 0.838 0.338 0.500
8 Pb 0.848 0.652 0.000
9 Na 0.338 0.162 0.500
10 Na 0.162 0.662 0.500

Computed properties:
**Total magnetic moment**: 7.63 Bohr magnetons per cell
**Symmetry**: P4/mbm (127)
**ΔH_f (0 K)**: 0.158 eV/atom

=====

(14)
The following is a GGA-PBE calculation of a relaxed Na2MnPb crystal, from Alexandria via LeMat-Bulk.

Cell: 8.691 8.691 6.787 Å, 50.19 50.19 90.00°
Fractional coordinates of all 8 atoms:
1 Na 0.613 0.125 0.250
2 Pb 0.000 0.000 0.000
3 Mn 0.250 0.750 0.500
4 Na 0.875 0.863 0.750
5 Na 0.375 0.387 0.750
6 Na 0.137 0.625 0.250
7 Pb 0.750 0.250 0.500
8 Mn 0.500 0.500 0.000

Computed properties:
**Total magnetic moment**: 8.72 Bohr magnetons per cell
**Symmetry**: I-42d (122)
**ΔH_f (0 K)**: 0.463 eV/atom

=====

(15)
The following is a GGA-PBE calculation of a relaxed NaMnPb3 crystal, from Alexandria via LeMat-Bulk.

Cell: 5.480 5.480 5.480 Å, 90.00 90.00 90.00°
Fractional coordinates of all 5 atoms:
1 Pb 0.000 0.500 0.000
2 Pb 0.000 0.000 0.500
3 Pb 0.500 0.000 0.000
4 Mn 0.500 0.500 0.500
5 Na 0.000 0.000 0.000

Computed properties:
**Total magnetic moment**: 4.53 Bohr magnetons per cell
**Symmetry**: Pm-3m (221)
**ΔH_f (0 K)**: 0.869 eV/atom
**Polymorph energy (0 for the lowest one)**: 332 kJ/mol of formula units

=====

(16)
The following is a GGA-PBE calculation of a relaxed NaMnPdPb2 crystal, from Alexandria via LeMat-Bulk.

Cell: 5.404 5.118 5.404 Å, 90.00 90.00 90.00°
Fractional coordinates of all 5 atoms:
1 Pb 0.500 0.000 0.000
2 Na 0.500 0.500 0.500
3 Pb 0.000 0.000 0.500
4 Pd 0.000 0.000 0.000
5 Mn 0.000 0.500 0.000

Computed properties:
**Total magnetic moment**: 4.70 Bohr magnetons per cell
**Symmetry**: P4/mmm (123)
**ΔH_f (0 K)**: 0.262 eV/atom

=====

(17)
The following is a GGA-PBE calculation of a relaxed NaYMnPb2 crystal, from Alexandria via LeMat-Bulk.

Cell: 5.938 5.306 5.938 Å, 90.00 90.00 90.00°
Fractional coordinates of all 5 atoms:
1 Y 0.000 0.000 0.000
2 Na 0.500 0.500 0.500
3 Pb 0.500 0.000 0.000
4 Pb 0.000 0.000 0.500
5 Mn 0.000 0.500 0.000

Computed properties:
**Total magnetic moment**: 3.59 Bohr magnetons per cell
**Symmetry**: P4/mmm (123)
**ΔH_f (0 K)**: 0.622 eV/atom

=====

(18)
The following is a GGA-PBE calculation of a relaxed NaMnPd crystal, from Alexandria via LeMat-Bulk.

Cell: 11.315 3.681 3.075 Å, 90.01 106.23 90.00°
Fractional coordinates of all 6 atoms:
1 Mn 0.007 0.811 0.596
2 Pd 0.906 0.310 0.994
3 Na 0.443 0.311 0.542
4 Mn 0.157 0.310 0.250
5 Pd 0.257 0.811 0.853
6 Na 0.721 0.811 0.306

Computed properties:
**Total magnetic moment**: 8.76 Bohr magnetons per cell
**Symmetry**: P2_1/m (11)
**ΔH_f (0 K)**: 0.009 eV/atom
**Polymorph energy (0 for the lowest one)**: 0 kJ/mol of formula units

=====

(19)
The following is a GGA-PBE calculation of a relaxed NaMnPd crystal, from Alexandria via LeMat-Bulk.

Cell: 7.781 7.781 2.791 Å, 90.00 90.00 37.76°
Fractional coordinates of all 6 atoms:
1 Pd 0.608 0.608 0.000
2 Pd 0.392 0.392 0.000
3 Mn 0.806 0.194 0.500
4 Na 0.194 0.194 0.500
5 Mn 0.194 0.806 0.500
6 Na 0.806 0.806 0.500

Computed properties:
**Total magnetic moment**: 3.44 Bohr magnetons per cell
**Symmetry**: Cmmm (65)
**ΔH_f (0 K)**: 0.235 eV/atom
**Polymorph energy (0 for the lowest one)**: 65 kJ/mol of formula units

=====

(20)
The following is a GGA-PBE calculation of a relaxed NaMnPd crystal, from Alexandria via LeMat-Bulk.

Cell: 17.414 7.719 7.719 Å, 159.40 160.38 19.62°
Fractional coordinates of all 6 atoms:
1 Mn 0.603 0.108 0.892
2 Na 0.674 0.717 0.283
3 Mn 0.263 0.536 0.464
4 Pd 0.530 0.550 0.450
5 Na 0.076 0.442 0.558
6 Pd 0.028 0.176 0.824

Computed properties:
**Total magnetic moment**: 2.46 Bohr magnetons per cell
**Symmetry**: Cm (8)
**ΔH_f (0 K)**: 0.322 eV/atom
**Polymorph energy (0 for the lowest one)**: 91 kJ/mol of formula units